# Rb4Ho3CoO8

A relaxed structure of Rb4Ho3CoO8 (PBE with a Hubbard U, the Alexandria database).

a b c (Å): 6.933 7.609 6.807
angles (deg): 116.36 120.62 90.00
Site moments in Bohr magnetons follow the coordinates.
Fractional coordinates of all 16 atoms:
Ho (0.500, 0.500, 0.500)  0.01
Ho (0.500, 0.500, 0.000)  0.00
Ho (0.000, 0.500, 0.500)  0.01
O (0.802, 0.343, 0.605)  0.17
O (0.728, 0.675, 0.455)  0.01
O (0.723, 0.681, 0.953)  0.11
O (0.272, 0.325, 0.545)  0.01
O (0.230, 0.681, 0.953)  0.11
O (0.277, 0.319, 0.047)  0.11
O (0.770, 0.319, 0.047)  0.11
O (0.198, 0.657, 0.395)  0.17
Rb (0.000, 0.000, 0.000)  0.00
Rb (0.000, 0.000, 0.500)  0.00
Rb (0.500, 0.000, 0.000)  0.01
Rb (0.500, 0.000, 0.500)  0.00
Co (0.000, 0.500, 0.000)  3.01

The calculation puts the total energy at -0.4503 Ry per atom. The symmetry is C2/m (12). The density comes out at 6.420 g/cm³.